Record 1
{
  "formula": "AcCoGe2",
  "functional": "PBE",
  "state": "optimized geometry",
  "spacegroup": "P4/mmm, No. 123",
  "volume_a3_per_cell": 78.8,
  "ef_ev_per_atom": -0.060,
  "final_energy_ev_per_atom": -5.17,
  "dos_ef_per_ev_fu": 3.0,
  "lattice_angstrom": [[3.334, 0.000, 0.000], [0.000, 3.334, 0.000], [0.000, 0.000, 7.092]],
  "species": ["Ac", "Co", "Ge", "Ge"],
  "fractional_positions": [[0.000, 0.000, 0.000], [0.000, 0.000, 0.500], [0.500, 0.500, 0.321], [0.500, 0.500, 0.679]]
}

---

Record 2
{
  "formula": "SiSb2Rh",
  "functional": "PBE",
  "state": "optimized geometry",
  "spacegroup": "Cm, No. 8",
  "volume_a3_per_cell": 89.1,
  "final_energy_ev_per_atom": -5.42,
  "dos_ef_per_ev_fu": 1.6,
  "lattice_angstrom": [[3.886, -1.883, 0.000], [3.886, 1.883, 0.000], [-1.592, 0.000, 6.088]],
  "species": ["Si", "Sb", "Sb", "Rh"],
  "fractional_positions": [[0.000, 0.000, 0.000], [0.198, 0.198, 0.724], [0.448, 0.448, 0.317], [0.712, 0.712, 0.063]]
}

---

Record 3
{
  "formula": "ScTiGe2N",
  "functional": "PBE",
  "state": "optimized geometry",
  "spacegroup": "P4/mmm, No. 123",
  "volume_a3_per_cell": 82.0,
  "final_energy_ev_per_atom": -6.57,
  "dos_ef_per_ev_fu": 3.6,
  "lattice_angstrom": [[4.568, 0.000, 0.000], [0.000, 4.568, 0.000], [0.000, 0.000, 3.931]],
  "species": ["Sc", "Ti", "Ge", "Ge", "N"],
  "fractional_positions": [[0.000, 0.000, 0.000], [0.500, 0.500, 0.000], [0.000, 0.500, 0.500], [0.500, 0.000, 0.500], [0.500, 0.500, 0.500]]
}

---

Record 4
{
  "formula": "LaTl2Pt",
  "functional": "PBE",
  "state": "optimized geometry",
  "spacegroup": "Immm, No. 71",
  "volume_a3_per_cell": 105.0,
  "ef_ev_per_atom": -0.425,
  "final_energy_ev_per_atom": -4.35,
  "dos_ef_per_ev_fu": 2.5,
  "lattice_angstrom": [[-1.836, 2.501, 5.720], [1.836, -2.501, 5.720], [1.836, 2.501, -5.720]],
  "species": ["La", "Tl", "Tl", "Pt"],
  "fractional_positions": [[0.000, 0.000, 0.000], [0.289, 0.789, 0.500], [0.711, 0.211, 0.500], [0.500, 0.500, 0.000]]
}

---

Record 5
{
  "formula": "CrCd3H",
  "functional": "PBE",
  "state": "optimized geometry",
  "spacegroup": "Pm-3m, No. 221",
  "volume_a3_per_cell": 156.6,
  "final_energy_ev_per_atom": -2.17,
  "dos_ef_per_ev_fu": 2.3,
  "lattice_angstrom": [[5.390, 0.000, 0.000], [0.000, 5.390, 0.000], [0.000, 0.000, 5.390]],
  "species": ["Cr", "Cd", "Cd", "Cd", "H"],
  "fractional_positions": [[0.000, 0.000, 0.000], [0.000, 0.000, 0.500], [0.000, 0.500, 0.000], [0.500, 0.000, 0.000], [0.500, 0.500, 0.500]]
}

---

Record 6
{
  "formula": "MoWSCl2",
  "functional": "PBE",
  "state": "optimized geometry",
  "spacegroup": "P4/mmm, No. 123",
  "volume_a3_per_cell": 111.2,
  "final_energy_ev_per_atom": -5.29,
  "dos_ef_per_ev_fu": 4.7,
  "lattice_angstrom": [[4.809, 0.000, 0.000], [0.000, 4.809, 0.000], [0.000, 0.000, 4.809]],
  "species": ["Mo", "W", "S", "Cl", "Cl"],
  "fractional_positions": [[0.000, 0.000, 0.000], [0.500, 0.500, 0.500], [0.000, 0.000, 0.500], [0.000, 0.500, 0.000], [0.500, 0.000, 0.000]]
}

---

Record 7
{
  "formula": "SmCoCl5",
  "functional": "PBE",
  "state": "optimized geometry",
  "spacegroup": "C2/c, No. 15",
  "volume_a3_per_cell": 449.6,
  "final_energy_ev_per_atom": -4.50,
  "lattice_angstrom": [[5.200, -4.883, 0.000], [5.200, 4.883, 0.000], [-5.026, 0.000, 8.852]],
  "species": ["Sm", "Sm", "Co", "Co", "Cl", "Cl", "Cl", "Cl", "Cl", "Cl", "Cl", "Cl", "Cl", "Cl"],
  "fractional_positions": [[0.000, 0.500, 0.000], [0.500, 0.000, 0.500], [0.140, 0.860, 0.750], [0.860, 0.140, 0.250], [0.149, 0.185, 0.450], [0.170, 0.598, 0.830], [0.185, 0.149, 0.950], [0.333, 0.667, 0.250], [0.402, 0.830, 0.670], [0.598, 0.170, 0.330], [0.667, 0.333, 0.750], [0.815, 0.851, 0.050], [0.830, 0.402, 0.170], [0.851, 0.815, 0.550]]
}

---

Record 8
{
  "formula": "Ba2AlP2",
  "functional": "PBE",
  "state": "optimized geometry",
  "spacegroup": "Ibam, No. 72",
  "volume_a3_per_cell": 287.6,
  "ef_ev_per_atom": -0.856,
  "final_energy_ev_per_atom": -4.54,
  "dos_ef_per_ev_fu": 2.9,
  "lattice_angstrom": [[-3.456, 6.581, 3.161], [3.456, -6.581, 3.161], [3.456, 6.581, -3.161]],
  "species": ["Ba", "Ba", "Ba", "Ba", "Al", "Al", "P", "P", "P", "P"],
  "fractional_positions": [[0.143, 0.173, 0.316], [0.357, 0.673, 0.031], [0.643, 0.327, 0.969], [0.857, 0.827, 0.684], [0.250, 0.750, 0.500], [0.750, 0.250, 0.500], [0.105, 0.684, 0.789], [0.395, 0.184, 0.580], [0.605, 0.816, 0.420], [0.895, 0.316, 0.211]]
}

---

Record 9
{
  "formula": "PmTlHgGe",
  "functional": "PBE",
  "state": "optimized geometry",
  "spacegroup": "F-43m, No. 216",
  "volume_a3_per_cell": 103.5,
  "ef_ev_per_atom": -0.209,
  "final_energy_ev_per_atom": -3.22,
  "dos_ef_per_ev_fu": 3.2,
  "lattice_angstrom": [[0.000, 3.726, 3.726], [3.726, 0.000, 3.726], [3.726, 3.726, 0.000]],
  "species": ["Pm", "Tl", "Hg", "Ge"],
  "fractional_positions": [[0.000, 0.000, 0.000], [0.500, 0.500, 0.500], [0.750, 0.750, 0.750], [0.250, 0.250, 0.250]]
}

---

Record 10
{
  "formula": "NaLi2Ga2",
  "functional": "PBE",
  "state": "optimized geometry",
  "spacegroup": "I4/mmm, No. 139",
  "volume_a3_per_cell": 102.8,
  "ef_ev_per_atom": -0.071,
  "final_energy_ev_per_atom": -2.31,
  "dos_ef_per_ev_fu": 2.2,
  "lattice_angstrom": [[-1.994, 1.994, 6.463], [1.994, -1.994, 6.463], [1.994, 1.994, -6.463]],
  "species": ["Na", "Li", "Li", "Ga", "Ga"],
  "fractional_positions": [[0.000, 0.000, 0.000], [0.250, 0.750, 0.500], [0.750, 0.250, 0.500], [0.402, 0.402, 0.000], [0.598, 0.598, 0.000]]
}

---

Record 11
{
  "formula": "PmTm4Ag4",
  "functional": "PBE",
  "state": "optimized geometry",
  "spacegroup": "P4_2/n, No. 86",
  "volume_a3_per_cell": 515.4,
  "ef_ev_per_atom": -0.033,
  "final_energy_ev_per_atom": -3.82,
  "dos_ef_per_ev_fu": 11.6,
  "lattice_angstrom": [[9.368, 0.000, 0.000], [0.000, 9.368, 0.000], [0.000, 0.000, 5.873]],
  "species": ["Pm", "Pm", "Tm", "Tm", "Tm", "Tm", "Tm", "Tm", "Tm", "Tm", "Ag", "Ag", "Ag", "Ag", "Ag", "Ag", "Ag", "Ag"],
  "fractional_positions": [[0.250, 0.250, 0.250], [0.750, 0.750, 0.750], [0.087, 0.652, 0.152], [0.152, 0.913, 0.652], [0.348, 0.587, 0.652], [0.413, 0.848, 0.152], [0.587, 0.152, 0.848], [0.652, 0.413, 0.348], [0.848, 0.087, 0.348], [0.913, 0.348, 0.848], [0.037, 0.613, 0.649], [0.113, 0.963, 0.149], [0.387, 0.537, 0.149], [0.463, 0.887, 0.649], [0.537, 0.113, 0.351], [0.613, 0.463, 0.851], [0.887, 0.037, 0.851], [0.963, 0.387, 0.351]]
}

---

Record 12
{
  "formula": "HfAlPO2",
  "functional": "PBE",
  "state": "optimized geometry",
  "spacegroup": "P4/mmm, No. 123",
  "volume_a3_per_cell": 65.5,
  "final_energy_ev_per_atom": -7.31,
  "dos_ef_per_ev_fu": 0.6,
  "lattice_angstrom": [[3.666, 0.000, 0.000], [0.000, 3.666, 0.000], [0.000, 0.000, 4.877]],
  "species": ["Hf", "Al", "P", "O", "O"],
  "fractional_positions": [[0.000, 0.000, 0.000], [0.500, 0.500, 0.500], [0.500, 0.500, 0.000], [0.000, 0.500, 0.500], [0.500, 0.000, 0.500]]
}